1.
A relaxed structure of Sm5Si2Se2, computed with PBE.

POSCAR file:
```
Sm5Si2Se2
1.0
7.454 -3.863 0.000
7.454 3.863 0.000
0.000 0.000 7.788
Sm Si Se
10 4 4
Direct
0.000 0.000 0.000 Sm
0.038 0.694 0.668 Sm
0.194 0.538 0.168 Sm
0.306 0.962 0.668 Sm
0.462 0.806 0.168 Sm
0.500 0.500 0.500 Sm
0.538 0.194 0.832 Sm
0.694 0.038 0.332 Sm
0.806 0.462 0.832 Sm
0.962 0.306 0.332 Sm
0.120 0.880 0.380 Si
0.380 0.620 0.880 Si
0.620 0.380 0.120 Si
0.880 0.120 0.620 Si
0.201 0.201 0.000 Se
0.299 0.299 0.500 Se
0.701 0.701 0.500 Se
0.799 0.799 0.000 Se
```

**Spin magnetization**: 0.00 μB/f.u.
**E**: -5.7684 eV per atom
**DOS(E_F)**: 0.75 states/eV/atom

2.
A relaxed structure of SmSi2Se4, computed with PBE.

POSCAR file:
```
SmSi2Se4
1.0
7.617 0.000 0.000
0.000 7.617 0.000
0.000 0.000 6.526
Sm Si Se
2 4 8
Direct
0.000 0.000 0.000 Sm
0.500 0.500 0.500 Sm
0.000 0.500 0.250 Si
0.000 0.500 0.750 Si
0.500 0.000 0.250 Si
0.500 0.000 0.750 Si
0.166 0.688 0.500 Se
0.188 0.334 0.000 Se
0.312 0.166 0.500 Se
0.334 0.812 0.000 Se
0.666 0.188 0.000 Se
0.688 0.834 0.500 Se
0.812 0.666 0.000 Se
0.834 0.312 0.500 Se
```

**Spin magnetization**: 0.00 μB/f.u.
**E**: -4.6070 eV per atom
**DOS(E_F)**: 0.40 states/eV/atom

3.
A relaxed structure of Sm6SiSe5, computed with PBE.

POSCAR file:
```
Sm6SiSe5
1.0
3.625 -6.276 0.000
3.625 6.276 0.000
-2.410 0.000 6.867
Sm Si Se
6 1 5
Direct
0.080 0.401 0.742 Sm
0.240 0.240 0.259 Sm
0.401 0.080 0.742 Sm
0.599 0.920 0.258 Sm
0.760 0.760 0.741 Sm
0.920 0.599 0.258 Sm
0.000 0.000 0.500 Si
0.169 0.831 0.000 Se
0.334 0.666 0.500 Se
0.500 0.500 0.000 Se
0.666 0.334 0.500 Se
0.831 0.169 0.000 Se
```

**Spin magnetization**: 0.00 μB/f.u.
**E**: -5.9652 eV per atom
**DOS(E_F)**: 0.44 states/eV/atom

4.
A relaxed structure of Sm2SiSe, computed with PBE.

POSCAR file:
```
Sm2SiSe
1.0
5.925 0.000 0.000
0.000 5.925 0.000
0.000 0.000 11.937
Sm Si Se
8 4 4
Direct
0.000 0.250 0.122 Sm
0.000 0.250 0.628 Sm
0.000 0.750 0.372 Sm
0.000 0.750 0.878 Sm
0.500 0.250 0.378 Sm
0.500 0.250 0.872 Sm
0.500 0.750 0.128 Sm
0.500 0.750 0.622 Sm
0.000 0.250 0.875 Si
0.000 0.750 0.125 Si
0.500 0.250 0.625 Si
0.500 0.750 0.375 Si
0.000 0.250 0.375 Se
0.000 0.750 0.625 Se
0.500 0.250 0.125 Se
0.500 0.750 0.875 Se
```

**Energy above the most stable polymorph in this dataset**: 0 meV per atom
**Spin magnetization**: 0.00 μB/f.u.
**E**: -5.9170 eV per atom
**DOS(E_F)**: 0.23 states/eV/atom